# ErCd2Ag3

ErCd2Ag3 after structural relaxation (GGA-PBE, Alexandria).

## Properties
Uncorrected energy ... -2.6468 eV per atom
E above lowest polymorph ... 0.000 eV per formula unit
SG ... P2/m (10)
Calculated formation energy ... -90 kJ/mol of formula units
Magnetization ... 0.00 μB per atom
Crystal system ... monoclinic

POSCAR file:
```
ErCd2Ag3
1.0
-0.2936 -3.3415 -3.6634
-5.4666 -5.0863 1.9459
-4.6870 3.8409 -3.1277
Ag Cd Er
6 4 2
Direct
0.8332 0.3323 0.7486 Ag
0.1668 0.6677 0.2514 Ag
0.1668 0.6677 0.7486 Ag
0.8332 0.3323 0.2514 Ag
0.5000 0.0000 0.2772 Ag
0.5000 0.0000 0.7228 Ag
0.3268 0.3459 0.5000 Cd
0.0000 0.0000 0.0000 Cd
0.0000 0.0000 0.5000 Cd
0.6732 0.6541 0.5000 Cd
0.3395 0.3188 0.0000 Er
0.6605 0.6812 0.0000 Er
```